No. 1
An optimized crystal structure of SrHgRh. Source: Alexandria, functional GGA-PBE.

Values from the calculation:
- formation energy from the elements (meV per atom) = -209
- DOS(E_F) (states/eV per cell) = 4.21
- E_tot (eV/atom) = -3.321

Cell lengths 4.542, 4.958, 7.675 Å; angles 109.05, 90.00, 90.00 degrees
Positions (direct):
Hg 0.861 0.185 0.603
Hg 0.861 0.827 0.892
Rh 0.861 0.754 0.247
Rh 0.861 0.259 0.248
Sr 0.361 0.379 0.995
Sr 0.361 0.633 0.499

=====

No. 2
An optimized crystal structure of Ac8Ir3Pt. Source: Alexandria, functional GGA-PBE.

Values from the calculation:
- formation energy from the elements (meV per atom) = -659
- DOS(E_F) (states/eV per cell) = 9.70
- E_tot (eV/atom) = -6.117

Cell lengths 8.876, 8.876, 8.498 Å; angles 121.18, 90.00, 120.00 degrees
Positions (direct):
Ir 0.000 0.500 0.000
Ir 0.500 0.000 0.000
Ir 0.500 0.500 0.000
Ac 0.246 0.493 0.229
Ac 0.265 0.019 0.771
Ac 0.754 0.507 0.771
Ac 0.754 0.019 0.771
Ac 0.257 0.515 0.770
Ac 0.735 0.981 0.229
Ac 0.246 0.981 0.229
Ac 0.743 0.485 0.230
Pt 0.000 0.000 0.000

=====

No. 3
An optimized crystal structure of ZrSc3N3. Source: Alexandria, functional GGA-PBE.

Values from the calculation:
- DOS(E_F) (states/eV per cell) = 11.73
- E_tot (eV/atom) = -9.128
- uncorrected formation energy (meV/atom) = -1626
- excess energy over the best structure of this formula in the dataset (eV/atom) = 0.0000

Cell lengths 7.897, 7.897, 7.897 Å; angles 109.47, 109.47, 109.47 degrees
Positions (direct):
Zr 0.000 0.000 0.738
Zr 0.000 0.738 0.000
Zr 0.262 0.262 0.262
Zr 0.738 0.000 0.000
Sc 0.739 0.251 0.739
Sc 0.261 0.000 0.512
Sc 0.261 0.512 0.000
Sc 0.000 0.512 0.261
Sc 0.488 0.488 0.749
Sc 0.251 0.739 0.739
Sc 0.000 0.261 0.512
Sc 0.512 0.000 0.261
Sc 0.739 0.739 0.251
Sc 0.488 0.749 0.488
Sc 0.512 0.261 0.000
Sc 0.749 0.488 0.488
N 0.752 0.502 0.000
N 0.750 0.248 0.248
N 0.752 0.000 0.502
N 0.498 0.498 0.250
N 0.248 0.248 0.750
N 0.248 0.750 0.248
N 0.000 0.502 0.752
N 0.498 0.250 0.498
N 0.000 0.752 0.502
N 0.502 0.000 0.752
N 0.250 0.498 0.498
N 0.502 0.752 0.000

=====

No. 4
An optimized crystal structure of RbLi2F3. Source: Alexandria, functional GGA-PBE.

Values from the calculation:
- DOS(E_F) (states/eV per cell) = 0.00
- E_tot (eV/atom) = -4.473
- uncorrected formation energy (meV/atom) = -2738

Cell lengths 3.142, 5.240, 9.631 Å; angles 90.00, 90.00, 90.00 degrees
Positions (direct):
Rb 0.000 0.033 0.874
Rb 0.000 0.533 0.126
F 0.500 0.068 0.119
F 0.000 0.311 0.384
F 0.500 0.307 0.640
F 0.000 0.811 0.616
F 0.500 0.807 0.360
F 0.500 0.568 0.881
Li 0.500 0.976 0.545
Li 0.000 0.506 0.713
Li 0.500 0.476 0.455
Li 0.000 0.006 0.287

=====

No. 5
An optimized crystal structure of AgAs2Pt. Source: Alexandria, functional GGA-PBE.

Values from the calculation:
- formation energy from the elements (meV per atom) = 63
- DOS(E_F) (states/eV per cell) = 2.13
- E_tot (eV/atom) = -4.485
- excess energy over the best structure of this formula in the dataset (eV/atom) = 0.1209

Cell lengths 3.031, 3.031, 8.002 Å; angles 90.00, 90.00, 90.00 degrees
Positions (direct):
As 0.000 0.000 0.981
As 0.500 0.500 0.299
Pt 0.000 0.000 0.480
Ag 0.500 0.500 0.740

=====

No. 6
An optimized crystal structure of SrLiAs3. Source: Alexandria, functional GGA-PBE.

Values from the calculation:
- formation energy from the elements (meV per atom) = -248
- DOS(E_F) (states/eV per cell) = 2.64
- E_tot (eV/atom) = -3.757
- excess energy over the best structure of this formula in the dataset (eV/atom) = 0.0000

Cell lengths 4.803, 4.803, 4.803 Å; angles 90.00, 90.00, 90.00 degrees
Positions (direct):
As 0.000 0.000 0.500
As 0.000 0.500 0.000
As 0.500 0.000 0.000
Sr 0.500 0.500 0.500
Li 0.000 0.000 0.000

=====

No. 7
An optimized crystal structure of Na2PdSe2. Source: Alexandria, functional GGA-PBE.

Values from the calculation:
- DOS(E_F) (states/eV per cell) = 0.00
- E_tot (eV/atom) = -3.773
- uncorrected formation energy (meV/atom) = -813

Cell lengths 3.755, 5.722, 11.424 Å; angles 90.00, 90.00, 109.14 degrees
Positions (direct):
Pd 0.864 0.729 0.252
Pd 0.136 0.271 0.752
Se 0.720 0.440 0.873
Se 0.550 0.100 0.631
Se 0.450 0.900 0.131
Se 0.280 0.560 0.373
Na 0.173 0.347 0.095
Na 0.435 0.870 0.871
Na 0.565 0.130 0.371
Na 0.827 0.653 0.595

=====

No. 8
An optimized crystal structure of SnP2SO. Source: Alexandria, functional GGA-PBE.

Values from the calculation:
- DOS(E_F) (states/eV per cell) = 10.07
- E_tot (eV/atom) = -3.185
- uncorrected formation energy (meV/atom) = 1596
- excess energy over the best structure of this formula in the dataset (eV/atom) = 1.2731

Cell lengths 5.117, 5.117, 4.865 Å; angles 90.00, 90.00, 90.00 degrees
Each line ends with the local moment (μB).
Positions (direct):
P 0.000 0.500 0.000  0.24
P 0.500 0.000 0.000  0.24
Sn 0.000 0.000 0.000  0.00
S 0.000 0.000 0.500  -0.02
O 0.500 0.500 0.500  0.04

=====

No. 9
An optimized crystal structure of CoRh2. Source: Alexandria, functional GGA-PBE.

Values from the calculation:
- formation energy from the elements (meV per atom) = 65
- DOS(E_F) (states/eV per cell) = 9.93
- E_tot (eV/atom) = -7.204

Cell lengths 2.684, 4.583, 6.971 Å; angles 108.11, 101.10, 90.00 degrees
Each line ends with the local moment (μB).
Positions (direct):
Rh 0.336 0.998 0.671  0.21
Rh 0.504 0.497 0.007  0.45
Rh 0.831 0.502 0.662  0.21
Rh 0.663 0.003 0.326  0.45
Co 0.164 0.496 0.329  1.79
Co 0.002 0.004 0.005  1.79

=====

No. 10
An optimized crystal structure of Li3Sm3HfS8. Source: Alexandria, functional GGA-PBE.

Values from the calculation:
- DOS(E_F) (states/eV per cell) = 0.00
- E_tot (eV/atom) = -5.958
- uncorrected formation energy (meV/atom) = -1767

Cell lengths 7.920, 7.919, 7.674 Å; angles 121.08, 90.00, 120.00 degrees
Positions (direct):
S 0.773 0.007 0.741
S 0.766 0.532 0.259
S 0.227 0.993 0.259
S 0.248 0.496 0.245
S 0.766 0.993 0.259
S 0.234 0.007 0.741
S 0.234 0.468 0.741
S 0.752 0.504 0.755
Li 0.000 0.500 0.000
Li 0.000 0.000 0.000
Li 0.500 0.500 0.000
Sm 0.000 0.500 0.500
Sm 0.500 0.500 0.500
Sm 0.500 0.000 0.500
Hf 0.000 0.000 0.500

=====

No. 11
An optimized crystal structure of CaNd4Sm3. Source: Alexandria, functional GGA-PBE.

Values from the calculation:
- formation energy from the elements (meV per atom) = 43
- DOS(E_F) (states/eV per cell) = 12.42
- E_tot (eV/atom) = -4.361

Cell lengths 5.213, 5.213, 10.989 Å; angles 103.74, 103.72, 90.00 degrees
Positions (direct):
Sm 0.249 0.749 0.499
Sm 0.751 0.251 0.501
Sm 0.000 0.500 0.000
Nd 0.128 0.128 0.256
Nd 0.872 0.872 0.744
Nd 0.628 0.628 0.256
Nd 0.372 0.372 0.744
Ca 0.500 0.000 0.000

=====

No. 12
An optimized crystal structure of Er4Be. Source: Alexandria, functional GGA-PBE.

Values from the calculation:
- formation energy from the elements (meV per atom) = 270
- DOS(E_F) (states/eV per cell) = 5.80
- E_tot (eV/atom) = -4.126

Cell lengths 5.241, 5.241, 5.241 Å; angles 90.00, 90.00, 90.00 degrees
Positions (direct):
Be 0.500 0.500 0.500
Er 0.500 0.500 0.000
Er 0.000 0.500 0.500
Er 0.000 0.000 0.000
Er 0.500 0.000 0.500

=====

No. 13
An optimized crystal structure of NbSnW2Au. Source: Alexandria, functional GGA-PBE.

Values from the calculation:
- formation energy from the elements (meV per atom) = 1838
- DOS(E_F) (states/eV per cell) = 5.21
- E_tot (eV/atom) = -6.813

Cell lengths 4.804, 5.241, 4.804 Å; angles 90.00, 90.00, 90.00 degrees
Each line ends with the local moment (μB).
Positions (direct):
W 0.000 0.000 0.500  0.48
W 0.500 0.000 0.000  0.69
Sn 0.500 0.500 0.500  0.02
Nb 0.000 0.000 0.000  -0.09
Au 0.000 0.500 0.000  0.04

=====

No. 14
An optimized crystal structure of Rb2Cu2RhSe4. Source: Alexandria, functional GGA-PBE.

Values from the calculation:
- DOS(E_F) (states/eV per cell) = 6.97
- E_tot (eV/atom) = -4.059
- uncorrected formation energy (meV/atom) = -568

Cell lengths 3.978, 7.736, 7.790 Å; angles 109.25, 90.00, 104.90 degrees
Positions (direct):
Se 0.819 0.639 0.839
Se 0.522 0.044 0.807
Se 0.478 0.956 0.193
Se 0.181 0.361 0.161
Cu 0.695 0.390 0.991
Cu 0.305 0.610 0.009
Rb 0.131 0.263 0.561
Rb 0.869 0.737 0.439
Rh 0.000 0.000 0.000

=====

No. 15
An optimized crystal structure of LaMgAg2. Source: Alexandria, functional GGA-PBE.

Values from the calculation:
- formation energy from the elements (meV per atom) = -122
- DOS(E_F) (states/eV per cell) = 2.66
- E_tot (eV/atom) = -3.178

Cell lengths 5.468, 5.468, 5.508 Å; angles 76.45, 76.45, 37.03 degrees
Positions (direct):
Ag 0.007 0.007 0.029
Ag 0.732 0.732 0.774
La 0.491 0.491 0.531
Mg 0.270 0.270 0.166

=====

No. 16
An optimized crystal structure of ScPaReTc. Source: Alexandria, functional GGA-PBE.

Values from the calculation:
- formation energy from the elements (meV per atom) = -228
- DOS(E_F) (states/eV per cell) = 3.10
- E_tot (eV/atom) = -9.889

Cell lengths 4.731, 4.731, 4.731 Å; angles 60.00, 60.00, 60.00 degrees
Positions (direct):
Sc 0.000 0.000 0.000
Tc 0.250 0.250 0.250
Re 0.750 0.750 0.750
Pa 0.500 0.500 0.500

=====

No. 17
An optimized crystal structure of LiBeSbO4. Source: Alexandria, functional GGA-PBE.

Values from the calculation:
- E_tot (eV/atom) = -6.051
- uncorrected formation energy (meV/atom) = -1823

Cell lengths 5.626, 5.725, 5.725 Å; angles 64.29, 60.57, 60.57 degrees
Positions (direct):
Li 0.000 0.000 0.500
Li 0.500 0.000 0.500
O 0.249 0.748 0.248
O 0.753 0.261 0.234
O 0.247 0.739 0.766
O 0.247 0.266 0.239
O 0.753 0.734 0.761
O 0.751 0.252 0.752
O 0.246 0.252 0.752
O 0.754 0.748 0.248
Sb 0.000 0.500 0.500
Sb 0.000 0.000 0.000
Be 0.351 0.399 0.899
Be 0.649 0.601 0.101

=====

No. 18
An optimized crystal structure of Na2CeErCl8. Source: Alexandria, functional GGA-PBE.

Values from the calculation:
- DOS(E_F) (states/eV per cell) = 9.25
- E_tot (eV/atom) = -4.413
- uncorrected formation energy (meV/atom) = -2088

Cell lengths 6.599, 6.521, 8.375 Å; angles 90.00, 90.00, 93.45 degrees
Each line ends with the local moment (μB).
Positions (direct):
Cl 0.176 0.804 0.763  0.00
Cl 0.703 0.722 0.000  0.00
Cl 0.824 0.196 0.763  0.00
Cl 0.176 0.804 0.237  0.00
Cl 0.297 0.278 0.000  0.00
Cl 0.690 0.710 0.500  -0.01
Cl 0.824 0.196 0.237  0.00
Cl 0.310 0.290 0.500  -0.01
Na 0.500 0.500 0.243  0.00
Na 0.500 0.500 0.757  0.00
Er 0.000 0.000 0.000  0.00
Ce 0.000 0.000 0.500  0.98

=====

No. 19
An optimized crystal structure of SmCuH2O4. Source: Alexandria, functional GGA-PBE.

Values from the calculation:
- E_tot (eV/atom) = -5.900

Cell lengths 4.720, 4.740, 4.740 Å; angles 70.09, 60.14, 60.14 degrees
Positions (direct):
H 0.189 0.311 0.311
H 0.811 0.689 0.689
O 0.415 0.193 0.419
O 0.973 0.419 0.193
O 0.585 0.581 0.807
O 0.027 0.807 0.581
Cu 0.500 0.500 0.500
Sm 0.000 0.000 0.000

=====

No. 20
An optimized crystal structure of YEr5Tl8. Source: Alexandria, functional GGA-PBE.

Values from the calculation:
- formation energy from the elements (meV per atom) = -210
- DOS(E_F) (states/eV per cell) = 10.70
- E_tot (eV/atom) = -3.653

Cell lengths 7.991, 7.991, 7.991 Å; angles 109.65, 109.11, 109.65 degrees
Positions (direct):
Er 0.500 0.000 0.500
Er 0.875 0.880 0.249
Er 0.368 0.120 0.995
Er 0.751 0.626 0.632
Er 0.005 0.374 0.125
Tl 0.292 0.250 0.375
Tl 0.628 0.413 0.880
Tl 0.785 0.252 0.372
Tl 0.467 0.587 0.215
Tl 0.959 0.083 0.708
Tl 0.124 0.750 0.041
Tl 0.625 0.917 0.876
Tl 0.120 0.748 0.533
Y 0.250 0.500 0.750

=====

No. 21
An optimized crystal structure of MoPtRh2. Source: Alexandria, functional GGA-PBE.

Values from the calculation:
- formation energy from the elements (meV per atom) = 89
- DOS(E_F) (states/eV per cell) = 4.22
- E_tot (eV/atom) = -7.804
- excess energy over the best structure of this formula in the dataset (eV/atom) = 0.3456

Cell lengths 4.410, 4.410, 4.410 Å; angles 60.00, 60.00, 60.00 degrees
Positions (direct):
Rh 0.250 0.250 0.250
Rh 0.000 0.000 0.000
Pt 0.750 0.750 0.750
Mo 0.500 0.500 0.500

=====

No. 22
An optimized crystal structure of Li3Cd2Ag2Au4. Source: Alexandria, functional GGA-PBE.

Values from the calculation:
- formation energy from the elements (meV per atom) = -245
- DOS(E_F) (states/eV per cell) = 3.29
- E_tot (eV/atom) = -2.643

Cell lengths 4.544, 4.544, 11.423 Å; angles 90.00, 90.00, 120.00 degrees
Positions (direct):
Li 0.000 0.000 0.000
Li 0.000 0.000 0.296
Li 0.000 0.000 0.704
Au 0.667 0.333 0.180
Au 0.667 0.333 0.678
Au 0.333 0.667 0.322
Au 0.333 0.667 0.820
Cd 0.333 0.667 0.077
Cd 0.667 0.333 0.923
Ag 0.333 0.667 0.566
Ag 0.667 0.333 0.434

=====

No. 23
An optimized crystal structure of AcTe2O8. Source: Alexandria, functional GGA-PBE.

Values from the calculation:
- DOS(E_F) (states/eV per cell) = 3.66
- E_tot (eV/atom) = -5.840
- uncorrected formation energy (meV/atom) = -1289
- excess energy over the best structure of this formula in the dataset (eV/atom) = 0.0000

Cell lengths 6.031, 5.251, 5.251 Å; angles 73.85, 82.61, 82.62 degrees
Each line ends with the local moment (μB).
Positions (direct):
O 0.364 0.674 0.046  0.13
O 0.636 0.954 0.326  0.13
O 0.180 0.239 0.239  0.19
O 0.364 0.046 0.674  0.13
O 0.707 0.438 0.438  0.00
O 0.293 0.562 0.562  0.00
O 0.636 0.326 0.954  0.13
O 0.820 0.761 0.761  0.19
Ac 0.000 0.000 0.000  0.00
Te 0.545 0.681 0.681  -0.01
Te 0.455 0.319 0.319  -0.01